Entry from Alexandria via LeMat-Bulk: a geometry-optimized LiMnTc2 structure (GGA-PBE).

ΔH_f (0 K)	0.275	eV/atom
D(E_F)	3.76	states/eV per cell
magnetic moment	0.72	μB/atom
ΔE to the lowest computed polymorph	1.934	kcal/mol of atoms

Cell lengths 2.6475, 2.6475, 8.9324 Å; angles 90.00, 90.00, 111.92 degrees
Closest atoms and distances in Å follow each position.
Atoms (fractional coordinates):
Li  0.0000  0.0000  0.0000  6 Li 2.65-2.96, 2 Tc 2.75, 2 Mn 2.77
Mn  0.5000  0.5000  0.2623  2 Tc 2.55, 4 Mn 2.65, 2 Li 2.77
Tc  0.0000  0.0000  0.4944  2 Mn 2.55, 6 Tc 2.65
Tc  0.5000  0.5000  0.7405  8 Tc 2.65-2.96, 2 Li 2.75

Entry from Alexandria via LeMat-Bulk: a geometry-optimized LiMn2Tc structure (GGA-PBE).

ΔH_f (0 K)	0.282	eV/atom
D(E_F)	3.87	states/eV per cell
magnetic moment	0.00	μB/atom

Cell lengths 2.4577, 4.1231, 4.7374 Å; angles 90.00, 98.65, 90.00 degrees
Closest atoms and distances in Å follow each position.
Atoms (fractional coordinates):
Li  0.0000  0.0000  0.0000  2 Li 2.46, 4 Mn 2.49, 2 Tc 2.50
Mn  0.2840  0.5000  0.7680  3 Mn 2.29-2.46, 2 Li 2.49, 2 Tc 2.52
Mn  0.7160  0.5000  0.2320  3 Mn 2.29-2.46, 2 Li 2.49, 2 Tc 2.52
Tc  0.5000  0.0000  0.5000  2 Tc 2.46, 2 Li 2.50, 4 Mn 2.52

Entry from Alexandria via LeMat-Bulk: a geometry-optimized LiMnTc2 structure (GGA-PBE).

ΔH_f (0 K)	0.261	eV/atom
D(E_F)	3.22	states/eV per cell
magnetic moment	0.71	μB/atom
ΔE to the lowest computed polymorph	1.597	kcal/mol of atoms

Cell lengths 4.6310, 4.6310, 4.9112 Å; angles 93.70, 93.70, 31.72 degrees
Closest atoms and distances in Å follow each position.
Atoms (fractional coordinates):
Li  0.0000  0.0000  0.0000  3 Mn 2.52-2.75, 2 Li 2.53, 5 Tc 2.63-2.77
Mn  0.2463  0.2463  0.7772  3 Li 2.52-2.75, 2 Mn 2.53, 5 Tc 2.71-2.81
Tc  0.5128  0.5128  0.5005  3 Tc 2.50-2.53, 2 Mn 2.72, 4 Li 2.76-2.77
Tc  0.7525  0.7525  0.2648  3 Tc 2.50-2.53, 1 Li 2.63, 2 Mn 2.71

Entry from Alexandria via LeMat-Bulk: a geometry-optimized Li2Mn2Tc structure (GGA-PBE).

ΔH_f (0 K)	0.784	eV/atom
D(E_F)	6.26	states/eV per cell
magnetic moment	0.00	μB/atom
ΔE to the lowest computed polymorph	6.386	kcal/mol of atoms

Cell lengths 5.4983, 5.4983, 5.4983 Å; angles 144.55, 144.55, 51.01 degrees
Closest atoms and distances in Å follow each position.
Atoms (fractional coordinates):
Li  0.0886  0.0886  0.0000  1 Li 1.76
Li  0.9114  0.9114  0.0000  1 Li 1.76
Mn  0.2500  0.7500  0.5000  4 Li 2.32, 4 Mn 2.37
Mn  0.7500  0.2500  0.5000  4 Li 2.32, 4 Mn 2.37
Tc  0.5000  0.5000  0.0000  8 Li 2.53

Entry from Alexandria via LeMat-Bulk: a geometry-optimized LiMn2Tc structure (GGA-PBE).

ΔH_f (0 K)	0.301	eV/atom
D(E_F)	4.52	states/eV per cell
magnetic moment	0.68	μB/atom

Cell lengths 4.8658, 4.8658, 2.5055 Å; angles 101.25, 101.25, 116.82 degrees
Closest atoms and distances in Å follow each position.
Atoms (fractional coordinates):
Li  0.0000  0.0000  0.0000  2 Li 2.51, 4 Mn 2.51, 2 Tc 2.55
Mn  0.0000  0.5000  0.5000  4 Mn 2.51-2.55, 2 Li 2.51, 2 Tc 2.51
Mn  0.5000  0.0000  0.5000  4 Mn 2.51-2.55, 2 Li 2.51, 2 Tc 2.51
Tc  0.5000  0.5000  0.0000  2 Tc 2.51, 4 Mn 2.51, 2 Li 2.55

Entry from Alexandria via LeMat-Bulk: a geometry-optimized LiMnTcW structure (GGA-PBE).

ΔH_f (0 K)	0.202	eV/atom
D(E_F)	3.87	states/eV per cell
magnetic moment	0.66	μB/atom

Cell lengths 4.2794, 4.2794, 4.2794 Å; angles 60.00, 60.00, 60.00 degrees
Closest atoms and distances in Å follow each position.
Atoms (fractional coordinates):
Li  0.0000  0.0000  0.0000  4 Mn 2.62, 4 Tc 2.62
Mn  0.7500  0.7500  0.7500  4 W 2.62, 4 Li 2.62
Tc  0.2500  0.2500  0.2500  4 W 2.62, 4 Li 2.62
W  0.5000  0.5000  0.5000  4 Mn 2.62, 4 Tc 2.62